Density functional theory data (GGA+U) for a relaxed structure of PmCuWO6.

a b c (Å): 4.922 4.922 9.681
angles (deg): 90.00 90.00 90.00
Space group P4_2nm (No. 102)
Symmetry-distinct sites (fractional):
Pm: 0.000 0.000 0.000
Cu: 0.000 0.000 0.327
W: 0.000 0.000 0.664
O: 0.170 0.170 0.498
O: 0.202 0.202 0.798
O: 0.219 0.219 0.175

Values from the calculation:
Calculated density, g cm⁻³: 6.9
Crystal system: tetragonal
Magnetization, μB/cell: 3.87
E, eV/atom: -6.93